# KMg2Au GGA-PBEsol relaxed
# * density: 4.5 g cm⁻³
# * energy of formation from the pure elements: -0.123 eV per atom
data_KMg2Au
_symmetry_space_group_name_H-M 'C 1 2/m 1'
_symmetry_Int_Tables_number 12
_symmetry_space_group_name_Hall '-C 2y'
_cell_length_a 12.683
_cell_length_b 3.224
_cell_length_c 5.662
_cell_angle_alpha 90.00
_cell_angle_beta 115.93
_cell_angle_gamma 90.00
loop_
_atom_site_label
_atom_site_fract_x
_atom_site_fract_y
_atom_site_fract_z
_atom_site_occupancy
K1 0.000 0.000 0.000 1
Mg1 0.195 0.000 0.695 1
Au1 0.000 0.500 0.500 1



# KMgAu2 GGA-PBEsol relaxed
# * density: 8.5 g cm⁻³
# * energy of formation from the pure elements: -0.312 eV per atom
data_KMgAu2
_symmetry_space_group_name_H-M 'P 4/m m m'
_symmetry_Int_Tables_number 123
_symmetry_space_group_name_Hall '-P 4 2'
_cell_length_a 3.399
_cell_length_b 3.399
_cell_length_c 7.731
_cell_angle_alpha 90.00
_cell_angle_beta 90.00
_cell_angle_gamma 90.00
loop_
_atom_site_label
_atom_site_fract_x
_atom_site_fract_y
_atom_site_fract_z
_atom_site_occupancy
K1 0.000 0.000 0.000 1
Mg1 0.000 0.000 0.500 1
Au1 0.500 0.500 0.313 1



# KMg2Au2 GGA-PBEsol relaxed
# * density: 6.7 g cm⁻³
# * energy of formation from the pure elements: -0.339 eV per atom
data_KMg2Au2
_symmetry_space_group_name_H-M 'I 4/m m m'
_symmetry_Int_Tables_number 139
_symmetry_space_group_name_Hall '-I 4 2'
_cell_length_a 4.507
_cell_length_b 4.507
_cell_length_c 11.737
_cell_angle_alpha 90.00
_cell_angle_beta 90.00
_cell_angle_gamma 90.00
loop_
_atom_site_label
_atom_site_fract_x
_atom_site_fract_y
_atom_site_fract_z
_atom_site_occupancy
K1 0.000 0.000 0.000 1
Mg1 0.000 0.500 0.250 1
Au1 0.000 0.000 0.383 1



# KMg2Au GGA-PBEsol relaxed
# * density: 4.8 g cm⁻³
# * energy of formation from the pure elements: 0.074 eV per atom
data_KMg2Au
_symmetry_space_group_name_H-M 'I -4 m 2'
_symmetry_Int_Tables_number 119
_symmetry_space_group_name_Hall 'I -4 -2'
_cell_length_a 5.300
_cell_length_b 5.300
_cell_length_c 6.998
_cell_angle_alpha 90.00
_cell_angle_beta 90.00
_cell_angle_gamma 90.00
loop_
_atom_site_label
_atom_site_fract_x
_atom_site_fract_y
_atom_site_fract_z
_atom_site_occupancy
K1 0.000 0.000 0.000 1
Mg1 0.000 0.000 0.500 1
Mg2 0.000 0.500 0.750 1
Au1 0.000 0.500 0.250 1



What did the second record say?
# KMgAu2 GGA-PBEsol relaxed
# * density: 8.5 g cm⁻³
# * energy of formation from the pure elements: -0.312 eV per atom
data_KMgAu2
_symmetry_space_group_name_H-M 'P 4/m m m'
_symmetry_Int_Tables_number 123
_symmetry_space_group_name_Hall '-P 4 2'
_cell_length_a 3.399
_cell_length_b 3.399
_cell_length_c 7.731
_cell_angle_alpha 90.00
_cell_angle_beta 90.00
_cell_angle_gamma 90.00
loop_
_atom_site_label
_atom_site_fract_x
_atom_site_fract_y
_atom_site_fract_z
_atom_site_occupancy
K1 0.000 0.000 0.000 1
Mg1 0.000 0.000 0.500 1
Au1 0.500 0.500 0.313 1



What is the density in the fourth record? 4.8 g cm⁻³



Among the records above, which one has the highest density? KMgAu2